Here is an optimized crystal structure of CeInHgSb from Alexandria via LeMat-Bulk. Energies are from PBE.

The total energy comes out at -3.787 eV/atom. The calculation puts the uncorrected formation energy at -0.513 eV per atom. The density of states at the Fermi level comes out at 1.516 states/eV/atom.

Structure (CIF):
```
data_CeInHgSb
_symmetry_space_group_name_H-M 'P m m m'
_symmetry_Int_Tables_number 47
_cell_length_a 4.4993
_cell_length_b 4.5615
_cell_length_c 5.1192
_cell_angle_alpha 90.00
_cell_angle_beta 90.00
_cell_angle_gamma 90.00
loop_
_symmetry_equiv_pos_as_xyz
'x,y,z'
'-x,-y,-z'
'-x,-y,z'
'x,y,-z'
'x,-y,-z'
'-x,y,z'
'-x,y,-z'
'x,-y,z'
loop_
_atom_site_label
_atom_site_fract_x
_atom_site_fract_y
_atom_site_fract_z
_atom_site_occupancy
Ce1 0.0000 0.0000 0.0000 1
In1 0.0000 0.5000 0.5000 1
Hg1 0.5000 0.0000 0.5000 1
Sb1 0.5000 0.5000 0.0000 1
```

Here is an optimized crystal structure of V6SiNi2 from Alexandria via LeMat-Bulk. Energies are from PBE.

The total energy comes out at -8.139 eV/atom. The calculation puts the uncorrected formation energy at -0.173 eV per atom. The density of states at the Fermi level comes out at 0.987 states/eV/atom.

Structure (CIF):
```
data_V6SiNi2
_symmetry_space_group_name_H-M 'P n n m'
_symmetry_Int_Tables_number 58
_cell_length_a 7.6006
_cell_length_b 7.7039
_cell_length_c 3.9183
_cell_angle_alpha 90.00
_cell_angle_beta 90.00
_cell_angle_gamma 90.00
loop_
_symmetry_equiv_pos_as_xyz
'x,y,z'
'-x,-y,-z'
'-x,-y,z'
'x,y,-z'
'x+1/2,-y+1/2,-z+1/2'
'-x+1/2,y+1/2,z+1/2'
'-x+1/2,y+1/2,-z+1/2'
'x+1/2,-y+1/2,z+1/2'
loop_
_atom_site_label
_atom_site_fract_x
_atom_site_fract_y
_atom_site_fract_z
_atom_site_occupancy
V1 0.0380 0.1717 0.0000 1
V2 0.1748 0.0364 0.5000 1
V3 0.1950 0.3850 0.5000 1
Si1 0.0000 0.5000 0.0000 1
Ni1 0.1243 0.7072 0.5000 1
```

Here is an optimized crystal structure of SmEr5Sc from Alexandria via LeMat-Bulk. Energies are from PBE.

The total energy comes out at -3.843 eV/atom. The value obtained for the energy of formation is 6.97 eV per formula unit. The density of states at the Fermi level comes out at 1.371 states/eV/atom.

Structure (CIF):
```
data_SmEr5Sc
_symmetry_space_group_name_H-M 'I m m 2'
_symmetry_Int_Tables_number 44
_cell_length_a 8.0267
_cell_length_b 11.3679
_cell_length_c 5.9740
_cell_angle_alpha 90.00
_cell_angle_beta 90.00
_cell_angle_gamma 90.00
loop_
_symmetry_equiv_pos_as_xyz
'x,y,z'
'-x,-y,z'
'-x,y,z'
'x,-y,z'
'x+1/2,y+1/2,z+1/2'
'-x+1/2,-y+1/2,z+1/2'
'-x+1/2,y+1/2,z+1/2'
'x+1/2,-y+1/2,z+1/2'
loop_
_atom_site_label
_atom_site_fract_x
_atom_site_fract_y
_atom_site_fract_z
_atom_site_occupancy
Sm1 0.0000 0.0000 0.0000 1
Er1 0.0000 0.0000 0.5250 1
Er2 0.0000 0.2515 0.2639 1
Er3 0.1763 0.5000 0.7605 1
Sc1 0.0000 0.5000 0.2593 1
```

Here is an optimized crystal structure of MoOs3 from Alexandria via LeMat-Bulk. Energies are from PBE.

The total energy comes out at -11.174 eV/atom. The value obtained for the energy of formation is -0.18 eV per formula unit. The density of states at the Fermi level comes out at 0.665 states/eV/atom.

Structure (CIF):
```
data_MoOs3
_symmetry_space_group_name_H-M 'P m m n'
_symmetry_Int_Tables_number 59
_cell_length_a 4.3870
_cell_length_b 5.5503
_cell_length_c 4.8119
_cell_angle_alpha 90.00
_cell_angle_beta 90.00
_cell_angle_gamma 90.00
loop_
_symmetry_equiv_pos_as_xyz
'x,y,z'
'-x,-y,-z'
'-x+1/2,-y+1/2,z'
'x+1/2,y+1/2,-z'
'x+1/2,-y,-z'
'-x+1/2,y,z'
'-x,y+1/2,-z'
'x,-y+1/2,z'
loop_
_atom_site_label
_atom_site_fract_x
_atom_site_fract_y
_atom_site_fract_z
_atom_site_occupancy
Mo1 0.2500 0.2500 0.1637 1
Os1 0.2500 0.5011 0.6658 1
Os2 0.2500 0.7500 0.1704 1
```

Here is an optimized crystal structure of Ta2TlTc from Alexandria via LeMat-Bulk. Energies are from PBE.

The total energy comes out at -8.780 eV/atom. The value obtained for the energy of formation is 1.32 eV per formula unit. The density of states at the Fermi level comes out at 0.498 states/eV/atom.

Structure (CIF):
```
data_Ta2TlTc
_symmetry_space_group_name_H-M 'C m m m'
_symmetry_Int_Tables_number 65
_symmetry_space_group_name_Hall '-C 2 2'
_cell_length_a 5.7536
_cell_length_b 7.9598
_cell_length_c 3.1585
_cell_angle_alpha 90.00
_cell_angle_beta 90.00
_cell_angle_gamma 90.00
loop_
_atom_site_label
_atom_site_fract_x
_atom_site_fract_y
_atom_site_fract_z
_atom_site_occupancy
Ta1 0.2500 0.2500 0.0000 1
Tl1 0.0000 0.0000 0.5000 1
Tc1 0.0000 0.5000 0.5000 1
```

Here is an optimized crystal structure of Pr7Th from Alexandria via LeMat-Bulk. Energies are from PBE.

The total energy comes out at -5.070 eV/atom. The value obtained for the energy of formation is 0.32 eV per formula unit. The density of states at the Fermi level comes out at 1.452 states/eV/atom.

Structure (CIF):
```
data_Pr7Th
_symmetry_space_group_name_H-M 'F m -3 m'
_symmetry_Int_Tables_number 225
_symmetry_space_group_name_Hall '-F 4 2 3'
_cell_length_a 10.4605
_cell_length_b 10.4605
_cell_length_c 10.4605
_cell_angle_alpha 90.00
_cell_angle_beta 90.00
_cell_angle_gamma 90.00
loop_
_atom_site_label
_atom_site_fract_x
_atom_site_fract_y
_atom_site_fract_z
_atom_site_occupancy
Pr1 0.0000 0.0000 0.0000 1
Pr2 0.0000 0.2500 0.2500 1
Th1 0.0000 0.0000 0.5000 1
```

Here is an optimized crystal structure of PaBi3O7 from Alexandria via LeMat-Bulk. Energies are from PBE.

The total energy comes out at -7.042 eV/atom. The calculation puts the uncorrected formation energy at -1.965 eV per atom. The density of states at the Fermi level comes out at 0.000 states/eV/atom.

Structure (CIF):
```
data_PaBi3O7
_symmetry_space_group_name_H-M 'C 2 2 21'
_symmetry_Int_Tables_number 20
_cell_length_a 8.1218
_cell_length_b 11.2854
_cell_length_c 7.9746
_cell_angle_alpha 90.00
_cell_angle_beta 90.00
_cell_angle_gamma 90.00
loop_
_symmetry_equiv_pos_as_xyz
'x,y,z'
'-x,-y,z+1/2'
'x,-y,-z'
'-x,y,-z+1/2'
'x+1/2,y+1/2,z'
'-x+1/2,-y+1/2,z+1/2'
'x+1/2,-y+1/2,-z'
'-x+1/2,y+1/2,-z+1/2'
loop_
_atom_site_label
_atom_site_fract_x
_atom_site_fract_y
_atom_site_fract_z
_atom_site_occupancy
Pa1 0.0007 0.0000 0.0000 1
Bi1 0.0396 0.5000 0.5000 1
Bi2 0.2346 0.2442 0.7415 1
O1 0.0000 0.0788 0.7500 1
O2 0.0000 0.3562 0.7500 1
O3 0.0000 0.3745 0.2500 1
O4 0.1743 0.1324 0.4373 1
O5 0.2170 0.1179 0.0398 1
```

Here is an optimized crystal structure of Ce2CdHg8 from Alexandria via LeMat-Bulk. Energies are from PBE.

The total energy comes out at -1.564 eV/atom. The value obtained for the energy of formation is -2.01 eV per formula unit. The density of states at the Fermi level comes out at 1.651 states/eV/atom.

Structure (CIF):
```
data_Ce2CdHg8
_symmetry_space_group_name_H-M 'C 1 2/m 1'
_symmetry_Int_Tables_number 12
_cell_length_a 17.7111
_cell_length_b 4.9781
_cell_length_c 7.0484
_cell_angle_alpha 90.00
_cell_angle_beta 112.79
_cell_angle_gamma 90.00
loop_
_symmetry_equiv_pos_as_xyz
'x,y,z'
'-x,-y,-z'
'-x,y,-z'
'x,-y,z'
'x+1/2,y+1/2,z'
'-x+1/2,-y+1/2,-z'
'-x+1/2,y+1/2,-z'
'x+1/2,-y+1/2,z'
loop_
_atom_site_label
_atom_site_fract_x
_atom_site_fract_y
_atom_site_fract_z
_atom_site_occupancy
Ce1 0.2066 0.0000 0.2033 1
Cd1 0.0000 0.5000 0.5000 1
Hg1 0.0035 0.0000 0.2154 1
Hg2 0.1285 0.5000 0.9105 1
Hg3 0.1336 0.5000 0.3567 1
Hg4 0.1631 0.0000 0.6663 1
```

Here is an optimized crystal structure of CsRhBr2 from Alexandria via LeMat-Bulk. Energies are from PBE.

The total energy comes out at -3.123 eV/atom. The calculation puts the uncorrected formation energy at -0.236 eV per atom. The density of states at the Fermi level comes out at 0.577 states/eV/atom.

Structure (CIF):
```
data_CsRhBr2
_symmetry_space_group_name_H-M 'R -3 m'
_symmetry_Int_Tables_number 166
_symmetry_space_group_name_Hall '-R 3 2"'
_cell_length_a 4.2453
_cell_length_b 4.2453
_cell_length_c 27.5521
_cell_angle_alpha 90.00
_cell_angle_beta 90.00
_cell_angle_gamma 120.00
loop_
_atom_site_label
_atom_site_fract_x
_atom_site_fract_y
_atom_site_fract_z
_atom_site_occupancy
Cs1 0.0000 0.0000 0.0000 1
Rh1 0.0000 0.0000 0.5000 1
Br1 0.0000 0.0000 0.1208 1
```

Here is an optimized crystal structure of PmSmBeZn from Alexandria via LeMat-Bulk. Energies are from PBE.

The total energy comes out at -3.675 eV/atom. The value obtained for the energy of formation is -0.23 eV per formula unit. The density of states at the Fermi level comes out at 1.074 states/eV/atom.

Structure (CIF):
```
data_PmSmBeZn
_symmetry_space_group_name_H-M 'F -4 3 m'
_symmetry_Int_Tables_number 216
_symmetry_space_group_name_Hall 'F -4 2 3'
_cell_length_a 7.1460
_cell_length_b 7.1460
_cell_length_c 7.1460
_cell_angle_alpha 90.00
_cell_angle_beta 90.00
_cell_angle_gamma 90.00
loop_
_atom_site_label
_atom_site_fract_x
_atom_site_fract_y
_atom_site_fract_z
_atom_site_occupancy
Pm1 0.0000 0.0000 0.0000 1
Sm1 0.0000 0.0000 0.5000 1
Be1 0.2500 0.2500 0.7500 1
Zn1 0.2500 0.2500 0.2500 1
```

Here is an optimized crystal structure of Dy3HoZr from Alexandria via LeMat-Bulk. Energies are from PBE.

The total energy comes out at -5.322 eV/atom. The value obtained for the energy of formation is 0.32 eV per formula unit. The density of states at the Fermi level comes out at 1.340 states/eV/atom.

Structure (CIF):
```
data_Dy3HoZr
_symmetry_space_group_name_H-M 'P -1'
_symmetry_Int_Tables_number 2
_cell_length_a 3.4489
_cell_length_b 9.1628
_cell_length_c 9.8248
_cell_angle_alpha 105.68
_cell_angle_beta 90.04
_cell_angle_gamma 100.82
loop_
_symmetry_equiv_pos_as_xyz
'x,y,z'
'-x,-y,-z'
loop_
_atom_site_label
_atom_site_fract_x
_atom_site_fract_y
_atom_site_fract_z
_atom_site_occupancy
Dy1 0.0017 0.0046 0.2495 1
Dy2 0.2033 0.4071 0.8419 1
Dy3 0.3938 0.7870 0.4548 1
Ho1 0.3963 0.7934 0.9403 1
Zr1 0.2049 0.4086 0.3622 1
```

Here is an optimized crystal structure of TlCuIBr from Alexandria via LeMat-Bulk. Energies are from PBE.

The total energy comes out at -2.843 eV/atom. The calculation puts the uncorrected formation energy at -0.422 eV per atom.

Structure (CIF):
```
data_TlCuIBr
_symmetry_space_group_name_H-M 'C 1 m 1'
_symmetry_Int_Tables_number 8
_cell_length_a 12.4289
_cell_length_b 5.3025
_cell_length_c 4.2279
_cell_angle_alpha 90.00
_cell_angle_beta 90.10
_cell_angle_gamma 90.00
loop_
_symmetry_equiv_pos_as_xyz
'x,y,z'
'x,-y,z'
'x+1/2,y+1/2,z'
'x+1/2,-y+1/2,z'
loop_
_atom_site_label
_atom_site_fract_x
_atom_site_fract_y
_atom_site_fract_z
_atom_site_occupancy
Tl1 0.0000 0.0000 0.0000 1
Cu1 0.3713 0.0000 0.5049 1
I1 0.0743 0.5000 0.5000 1
Br1 0.2771 0.0000 0.0037 1
```